[1]
Computed, not measured: crystalline Sr2InAs at its relaxed geometry at the PBE level of DFT.

* SG: C2/m
* energy of formation from the pure elements: -608 meV/atom
* energy above the most stable polymorph in this dataset: 112 meV/atom
* size of the total moment: 0.70 μB/cell

Structure (POSCAR):
```
Sr2InAs
1.0
3.928 -2.251 0.000
3.928 2.251 0.000
-2.553 0.000 8.469
Sr In As
2 1 1
direct
0.230 0.230 0.191 Sr
0.770 0.770 0.809 Sr
0.000 0.000 0.500 In
0.500 0.500 0.000 As
```


[2]
Computed, not measured: crystalline LaInSe3 at its relaxed geometry at the PBE level of DFT.

* SG: P2_1/c
* energy above the most stable polymorph in this dataset: 65 meV/atom
* size of the total moment: 0.00 μB/cell

Structure (POSCAR):
```
LaInSe3
1.0
7.393 0.000 0.000
0.000 7.627 0.000
-5.795 0.000 10.428
La In Se
4 4 12
direct
0.149 0.129 0.214 La
0.149 0.371 0.714 La
0.851 0.629 0.286 La
0.851 0.871 0.786 La
0.264 0.653 0.119 In
0.264 0.847 0.619 In
0.736 0.153 0.381 In
0.736 0.347 0.881 In
0.090 0.203 0.936 Se
0.090 0.297 0.436 Se
0.248 0.672 0.899 Se
0.248 0.828 0.399 Se
0.465 0.061 0.811 Se
0.465 0.439 0.311 Se
0.535 0.561 0.689 Se
0.535 0.939 0.189 Se
0.752 0.172 0.601 Se
0.752 0.328 0.101 Se
0.910 0.703 0.564 Se
0.910 0.797 0.064 Se
```


[3]
Computed, not measured: crystalline PdW3Br at its relaxed geometry at the PBE level of DFT.

* SG: Pm-3m
* energy above the most stable polymorph in this dataset: 454 meV/atom
* size of the total moment: 0.00 μB/cell

Structure (POSCAR):
```
PdW3Br
1.0
4.816 0.000 0.000
0.000 4.816 0.000
0.000 0.000 4.816
Pd W Br
1 3 1
direct
0.000 0.000 0.000 Pd
0.000 0.000 0.500 W
0.000 0.500 0.000 W
0.500 0.000 0.000 W
0.500 0.500 0.500 Br
```


[4]
Computed, not measured: crystalline InCo2Cl at its relaxed geometry at the PBE level of DFT.

* SG: I-42d
* energy above the most stable polymorph in this dataset: 299 meV/atom
* size of the total moment: 0.00 μB/cell

Structure (POSCAR):
```
InCo2Cl
1.0
-2.277 2.277 6.897
2.277 -2.277 6.897
2.277 2.277 -6.897
In Co Cl
2 4 2
direct
0.000 0.000 0.000 In
0.750 0.250 0.500 In
0.278 0.625 0.153 Co
0.375 0.528 0.653 Co
0.472 0.125 0.847 Co
0.875 0.722 0.347 Co
0.250 0.750 0.500 Cl
0.500 0.500 0.000 Cl
```


[5]
Computed, not measured: crystalline Y2CdBPb at its relaxed geometry at the PBE level of DFT.

* SG: P4/mmm
* energy of formation from the pure elements: -246 meV/atom
* size of the total moment: 0.00 μB/cell

Structure (POSCAR):
```
Y2CdBPb
1.0
5.117 0.000 0.000
0.000 5.117 0.000
0.000 0.000 4.517
Y Cd B Pb
2 1 1 1
direct
0.000 0.500 0.000 Y
0.500 0.000 0.000 Y
0.000 0.000 0.500 Cd
0.000 0.000 0.000 B
0.500 0.500 0.500 Pb
```


[6]
Computed, not measured: crystalline NaNbZn at its relaxed geometry at the PBE level of DFT.

* SG: P6_3/mmc
* energy of formation from the pure elements: 610 meV/atom
* energy above the most stable polymorph in this dataset: 510 meV/atom
* size of the total moment: 0.00 μB/cell

Structure (POSCAR):
```
NaNbZn
1.0
4.770 0.000 0.000
-2.385 4.131 0.000
0.000 0.000 5.543
Na Nb Zn
2 2 2
direct
0.000 0.000 0.000 Na
0.000 0.000 0.500 Na
0.333 0.667 0.250 Nb
0.667 0.333 0.750 Nb
0.333 0.667 0.750 Zn
0.667 0.333 0.250 Zn
```


[7]
Computed, not measured: crystalline Ce3SmPa2As6 at its relaxed geometry at the PBE level of DFT.

* SG: C2/m
* energy of formation from the pure elements: -1321 meV/atom
* size of the total moment: 2.90 μB/cell

Structure (POSCAR):
```
Ce3SmPa2As6
1.0
3.610 -6.252 0.000
3.610 6.252 0.000
-2.405 0.000 6.831
Ce Sm Pa As
3 1 2 6
direct
0.000 0.000 0.000 Ce
0.335 0.665 0.000 Ce
0.665 0.335 0.000 Ce
0.500 0.500 0.500 Sm
0.167 0.833 0.500 Pa
0.833 0.167 0.500 Pa
0.079 0.419 0.257 As
0.241 0.241 0.742 As
0.419 0.079 0.257 As
0.581 0.921 0.743 As
0.759 0.759 0.258 As
0.921 0.581 0.743 As
```


[8]
Computed, not measured: crystalline Pr3Y7 at its relaxed geometry at the PBE level of DFT.

* SG: P6_3mc
* energy of formation from the pure elements: 161 meV/atom
* energy above the most stable polymorph in this dataset: 143 meV/atom
* size of the total moment: 0.00 μB/cell

Structure (POSCAR):
```
Pr3Y7
1.0
10.864 0.000 0.000
-5.432 9.408 0.000
0.000 0.000 6.590
Pr Y
6 14
direct
0.202 0.403 0.000 Pr
0.202 0.798 0.000 Pr
0.403 0.202 0.500 Pr
0.597 0.798 0.000 Pr
0.798 0.202 0.500 Pr
0.798 0.597 0.500 Pr
0.059 0.529 0.338 Y
0.121 0.243 0.521 Y
0.121 0.879 0.521 Y
0.243 0.121 0.021 Y
0.333 0.667 0.658 Y
0.471 0.529 0.338 Y
0.471 0.941 0.338 Y
0.529 0.059 0.838 Y
0.529 0.471 0.838 Y
0.667 0.333 0.158 Y
0.757 0.879 0.521 Y
0.879 0.121 0.021 Y
0.879 0.757 0.021 Y
0.941 0.471 0.838 Y
```


[9]
Computed, not measured: crystalline Nd2SmY4 at its relaxed geometry at the PBE level of DFT.

* SG: C2/m
* energy of formation from the pure elements: 39 meV/atom
* energy above the most stable polymorph in this dataset: 0 meV/atom
* size of the total moment: 0.00 μB/cell

Structure (POSCAR):
```
Nd2SmY4
1.0
8.499 -1.791 0.000
8.499 1.791 0.000
-4.429 0.000 7.694
Nd Sm Y
2 1 4
direct
0.069 0.069 0.428 Nd
0.931 0.931 0.572 Nd
0.000 0.000 0.000 Sm
0.294 0.294 0.707 Y
0.354 0.354 0.156 Y
0.646 0.646 0.844 Y
0.706 0.706 0.293 Y
```


[10]
Computed, not measured: crystalline PdRhPb at its relaxed geometry at the PBE level of DFT.

* SG: P3m1
* energy of formation from the pure elements: 12 meV/atom
* energy above the most stable polymorph in this dataset: 0 meV/atom
* size of the total moment: 0.00 μB/cell

Structure (POSCAR):
```
PdRhPb
1.0
4.466 0.000 0.000
-2.233 3.867 0.000
0.000 0.000 3.145
Pd Rh Pb
1 1 1
direct
0.000 0.000 0.000 Pd
0.333 0.667 0.379 Rh
0.667 0.333 0.686 Pb
```


[11]
Computed, not measured: crystalline In3HgCl5 at its relaxed geometry at the PBE level of DFT.

* SG: C2/m
* size of the total moment: 0.00 μB/cell

Structure (POSCAR):
```
In3HgCl5
1.0
6.360 -4.891 0.000
6.360 4.891 0.000
-5.347 0.000 9.804
In Hg Cl
6 2 10
direct
0.000 0.000 0.000 In
0.000 0.000 0.500 In
0.328 0.328 0.350 In
0.377 0.377 0.817 In
0.623 0.623 0.183 In
0.672 0.672 0.650 In
0.126 0.126 0.823 Hg
0.874 0.874 0.177 Hg
0.009 0.630 0.779 Cl
0.255 0.255 0.527 Cl
0.326 0.674 0.500 Cl
0.370 0.991 0.221 Cl
0.395 0.395 0.170 Cl
0.605 0.605 0.830 Cl
0.630 0.009 0.779 Cl
0.674 0.326 0.500 Cl
0.745 0.745 0.473 Cl
0.991 0.370 0.221 Cl
```


[12]
Computed, not measured: crystalline TbSmScHg at its relaxed geometry at the PBE level of DFT.

* SG: F-43m
* energy of formation from the pure elements: -86 meV/atom
* size of the total moment: 0.51 μB/cell

Structure (POSCAR):
```
TbSmScHg
1.0
0.000 3.789 3.789
3.789 0.000 3.789
3.789 3.789 0.000
Tb Sm Sc Hg
1 1 1 1
direct
0.000 0.000 0.000 Tb
0.500 0.500 0.500 Sm
0.750 0.750 0.750 Sc
0.250 0.250 0.250 Hg
```


[13]
Computed, not measured: crystalline LiAc2Pd4Pb3 at its relaxed geometry at the PBE level of DFT.

* SG: P-4m2
* energy of formation from the pure elements: -556 meV/atom
* size of the total moment: 0.00 μB/cell

Structure (POSCAR):
```
LiAc2Pd4Pb3
1.0
4.684 0.000 0.000
0.000 4.684 0.000
0.000 0.000 11.224
Li Ac Pd Pb
1 2 4 3
direct
0.000 0.000 0.000 Li
0.000 0.500 0.745 Ac
0.500 0.000 0.255 Ac
0.000 0.000 0.500 Pd
0.000 0.500 0.130 Pd
0.500 0.000 0.870 Pd
0.500 0.500 0.500 Pd
0.000 0.500 0.372 Pb
0.500 0.000 0.628 Pb
0.500 0.500 0.000 Pb
```


no.,E_tot (eV for the cell shown)
1,-13.18
2,-96.13
3,-32.73
4,-34.00
5,-25.46
6,-21.67
7,-85.26
8,-115.95
9,-39.84
10,-16.22
11,-50.48
12,-16.33
13,-47.59